# PmSm6Y5 | Alexandria via LeMat-Bulk | GGA-PBE | relaxed
# Symmetry   C2/m (12)
# Size of the total moment   0.00 μB per formula unit
# Calculated density   6.24 g cm⁻³
# Energy of formation from the pure elements   0.013 eV/atom
data_PmSm6Y5
_chemical_formula_sum 'Pm1 Sm6 Y5'
_symmetry_space_group_name_H-M 'P 1'
_symmetry_Int_Tables_number 1
_cell_length_a 6.250
_cell_length_b 6.250
_cell_length_c 11.912
_cell_angle_alpha 94.99
_cell_angle_beta 94.99
_cell_angle_gamma 119.97
loop_
_symmetry_equiv_pos_as_xyz
'x,y,z'
loop_
_atom_site_label
_atom_site_type_symbol
_atom_site_fract_x
_atom_site_fract_y
_atom_site_fract_z
Pm1 Pm 0.000 0.000 0.000
Sm1 Sm 0.083 0.416 0.251
Sm2 Sm 0.250 0.250 0.749
Sm3 Sm 0.416 0.083 0.251
Sm4 Sm 0.584 0.917 0.749
Sm5 Sm 0.750 0.750 0.251
Sm6 Sm 0.917 0.584 0.749
Y1 Y 0.167 0.833 0.500
Y2 Y 0.333 0.667 0.000
Y3 Y 0.500 0.500 0.500
Y4 Y 0.667 0.333 0.000
Y5 Y 0.833 0.167 0.500